CePm3Sm (PBE-GGA, optimized geometry); symmetry = P-1; total energy = -97.97 eV for the cell shown; total magnetization = 0.5 μB/f.u.
1.0
-4.150 -5.076 1.994
-0.753 1.136 11.817
-5.040 8.662 7.108
Pm Sm Ce
12 4 4
direct
0.320 0.661 0.472 Pm
0.371 0.054 0.272 Pm
0.629 0.946 0.728 Pm
0.387 0.367 0.879 Pm
0.680 0.339 0.528 Pm
0.914 0.796 0.591 Pm
0.141 0.604 0.219 Pm
0.859 0.396 0.781 Pm
0.613 0.633 0.121 Pm
0.122 0.941 0.788 Pm
0.878 0.059 0.212 Pm
0.086 0.204 0.409 Pm
0.730 0.029 0.946 Sm
0.270 0.971 0.054 Sm
0.782 0.705 0.366 Sm
0.218 0.295 0.634 Sm
0.532 0.276 0.282 Ce
0.180 0.538 0.995 Ce
0.820 0.462 0.005 Ce
0.468 0.724 0.718 Ce